[1]
VASP calculation (PBE) on a geometry-optimized Sm3DyS structure.

Crystal system = cubic
Total energy = -5.2404 eV per atom

extended XYZ file:
```
5
Lattice="5.4201 0.0000 0.0000 0.0000 5.4201 0.0000 0.0000 0.0000 5.4201" Properties=species:S:1:pos:R:3 pbc="T T T"
Sm 0.0000 0.0000 2.7101
Sm 0.0000 2.7101 0.0000
Sm 2.7101 0.0000 0.0000
Dy 2.7101 2.7101 2.7101
S 0.0000 0.0000 0.0000
```

[2]
VASP calculation (PBE) on a geometry-optimized Tb4TmMg7 structure.

Crystal system = trigonal
Formation enthalpy at 0 K = -0.3 eV per formula unit
Energy above the lowest structure with this stoichiometry = 0.000 eV per atom

extended XYZ file:
```
12
Lattice="5.2933 0.0000 0.0000 -2.6466 4.5841 0.0000 0.0000 0.0000 13.2272" Properties=species:S:1:pos:R:3 pbc="T T T"
Tb 0.0000 3.0561 2.1113
Tb 0.0000 3.0561 5.5510
Tb 2.6466 1.5280 7.6761
Tb 2.6466 1.5280 11.1158
Tm 0.0000 0.0000 0.0000
Mg 0.0000 0.0000 3.4452
Mg 0.0000 0.0000 6.6136
Mg 0.0000 0.0000 9.7820
Mg 0.0000 3.0561 9.0295
Mg 0.0000 3.0561 12.1301
Mg 2.6466 1.5280 1.0971
Mg 2.6466 1.5280 4.1977
```